# 1
Entry from Alexandria: SiGeRu2 after structural relaxation (PBEsol).

Summary:
E: -8.239 eV per atom
Uncorrected formation energy: -0.4817 eV per atom

a b c (Å): 4.180 4.180 4.180
angles (deg): 60.00 60.00 60.00
Fractional coordinates of all 4 atoms:
Ru1 0.250 0.250 0.250
Ru2 0.750 0.750 0.750
Ge1 0.500 0.500 0.500
Si1 0.000 0.000 0.000

---

# 2
Entry from Alexandria: Nb3TlW after structural relaxation (PBEsol).

Summary:
E: -8.493 eV per atom
Excess energy over the best structure of this formula in the dataset: 0 meV/atom
Calculated formation energy: 1287 meV per atom

a b c (Å): 4.847 4.847 4.847
angles (deg): 90.00 90.00 90.00
Fractional coordinates of all 5 atoms:
Tl1 0.500 0.500 0.500
Nb1 0.000 0.500 0.000
Nb2 0.000 0.000 0.500
Nb3 0.500 0.000 0.000
W1 0.000 0.000 0.000

---

# 3
Entry from Alexandria: Os12W17 after structural relaxation (PBEsol).

Summary:
E: -13.092 eV per atom
Calculated formation energy: 57 meV per atom

a b c (Å): 8.309 8.309 8.309
angles (deg): 109.47 109.47 109.47
Fractional coordinates of all 29 atoms:
Os1 0.183 0.375 0.375
Os2 0.817 0.192 0.192
Os3 0.000 0.808 0.625
Os4 0.000 0.625 0.808
Os5 0.375 0.183 0.375
Os6 0.192 0.817 0.192
Os7 0.625 0.000 0.808
Os8 0.808 0.000 0.625
Os9 0.375 0.375 0.183
Os10 0.192 0.192 0.817
Os11 0.808 0.625 0.000
Os12 0.625 0.808 0.000
W1 0.710 0.394 0.394
W2 0.290 0.684 0.684
W3 0.000 0.316 0.606
W4 0.000 0.606 0.316
W5 0.394 0.710 0.394
W6 0.684 0.290 0.684
W7 0.606 0.000 0.316
W8 0.316 0.000 0.606
W9 0.394 0.394 0.710
W10 0.684 0.684 0.290
W11 0.316 0.606 0.000
W12 0.606 0.316 0.000
W13 0.651 0.651 0.651
W14 0.349 0.000 0.000
W15 0.000 0.000 0.349
W16 0.000 0.349 0.000
W17 0.000 0.000 0.000

---

# 4
Entry from Alexandria: CuSiNi after structural relaxation (PBEsol).

Summary:
E: -5.711 eV per atom
Uncorrected formation energy: -0.2986 eV per atom

a b c (Å): 2.654 3.294 4.336
angles (deg): 112.33 107.82 90.00
Fractional coordinates of all 3 atoms:
Cu1 0.998 0.998 0.996
Ni1 0.675 0.675 0.350
Si1 0.327 0.327 0.653

---

# 5
Entry from Alexandria: Al2IrW after structural relaxation (PBEsol).

Summary:
E: -8.199 eV per atom
Excess energy over the best structure of this formula in the dataset: 65 meV/atom
Calculated formation energy: -246 meV per atom

a b c (Å): 2.812 2.812 8.716
angles (deg): 80.72 80.72 60.00
Fractional coordinates of all 4 atoms:
Ir1 0.500 0.500 0.500
Al1 0.246 0.246 0.263
Al2 0.754 0.754 0.737
W1 0.000 0.000 0.000

---

# 6
Entry from Alexandria: Re2PtRhW after structural relaxation (PBEsol).

Summary:
E: -8.508 eV per atom
Calculated formation energy: 2607 meV per atom

a b c (Å): 4.585 4.585 4.633
angles (deg): 90.00 90.00 90.00
Fractional coordinates of all 5 atoms:
Re1 0.000 0.500 0.000
Re2 0.500 0.000 0.000
Rh1 0.000 0.000 0.500
W1 0.500 0.500 0.500
Pt1 0.000 0.000 0.000

---

# 7
Entry from Alexandria: TaMo5 after structural relaxation (PBEsol).

Summary:
E: -11.982 eV per atom
Excess energy over the best structure of this formula in the dataset: 2 meV/atom
Calculated formation energy: -83 meV per atom

a b c (Å): 3.144 3.144 9.476
angles (deg): 90.00 90.00 90.00
Fractional coordinates of all 6 atoms:
Mo1 0.000 0.000 0.672
Mo2 0.500 0.500 0.835
Mo3 0.000 0.000 0.000
Mo4 0.500 0.500 0.165
Mo5 0.000 0.000 0.328
Ta1 0.500 0.500 0.500

---

# 8
Entry from Alexandria: HfMn3O after structural relaxation (PBEsol).

Summary:
E: -9.367 eV per atom
Uncorrected formation energy: -0.3594 eV per atom

a b c (Å): 3.900 3.900 3.900
angles (deg): 90.00 90.00 90.00
Fractional coordinates of all 5 atoms:
Mn1 0.000 0.500 0.000
Mn2 0.000 0.000 0.500
Mn3 0.500 0.000 0.000
Hf1 0.500 0.500 0.500
O1 0.000 0.000 0.000

---

# 9
Entry from Alexandria: KP2 after structural relaxation (PBEsol).

Summary:
E: -4.346 eV per atom
Calculated formation energy: -107 meV per atom

a b c (Å): 3.808 3.808 5.603
angles (deg): 90.00 90.00 120.00
Fractional coordinates of all 3 atoms:
P1 0.333 0.667 0.428
P2 0.667 0.333 0.572
K1 0.000 0.000 0.000

---

# 10
Entry from Alexandria: TcHgOs2 after structural relaxation (PBEsol).

Summary:
E: -8.156 eV per atom
Calculated formation energy: 910 meV per atom

a b c (Å): 2.821 4.631 4.708
angles (deg): 90.00 90.00 90.00
Fractional coordinates of all 4 atoms:
Hg1 0.000 0.500 0.500
Os1 0.000 0.000 0.000
Os2 0.500 0.000 0.500
Tc1 0.500 0.500 0.000

---

# 11
Entry from Alexandria: Ba2Au after structural relaxation (PBEsol).

Summary:
E: -3.151 eV per atom
Calculated formation energy: -410 meV per atom

a b c (Å): 5.218 8.611 8.611
angles (deg): 120.00 90.00 90.00
Fractional coordinates of all 9 atoms:
Au1 0.000 0.667 0.333
Au2 0.000 0.333 0.667
Au3 0.500 0.000 0.000
Ba1 0.000 0.739 0.739
Ba2 0.000 0.000 0.261
Ba3 0.000 0.261 0.000
Ba4 0.500 0.403 0.403
Ba5 0.500 0.000 0.597
Ba6 0.500 0.597 0.000

---

# 12
Entry from Alexandria: CdGaOs3 after structural relaxation (PBEsol).

Summary:
E: -5.073 eV per atom
Calculated formation energy: 3164 meV per atom

a b c (Å): 4.748 4.748 4.748
angles (deg): 90.00 90.00 90.00
Fractional coordinates of all 5 atoms:
Os1 0.000 0.500 0.000
Os2 0.000 0.000 0.500
Os3 0.500 0.000 0.000
Ga1 0.500 0.500 0.500
Cd1 0.000 0.000 0.000